[1]
CdGa2Ag | the Alexandria database | GGA-PBE | optimized geometry; space-group type = R3m, No. 160; E_tot = -9.647 eV per formula unit; size of the total moment = 0.0 μB/f.u.
1.0
3.084 0.000 0.000
1.542 2.671 0.000
1.542 0.890 9.369
Ga Ag Cd
2 1 1
Cartesian
1.542 0.890 2.215
1.542 0.890 7.154
3.084 1.780 0.010
3.084 1.780 4.674

[2]
La3CdIr | the Alexandria database | GGA-PBE | optimized geometry; space-group type = P2_1/c, No. 14; E_tot = -26.367 eV per formula unit; size of the total moment = 0.0 μB/f.u.
1.0
22.455 0.000 -3.337
0.000 6.689 0.000
-8.259 0.000 5.377
La Cd Ir
12 4 4
Cartesian
13.545 5.012 1.197
2.717 4.768 1.106
16.468 3.550 -0.451
13.084 0.205 -1.867
4.380 1.424 -0.087
0.650 1.677 0.843
6.448 5.021 0.177
7.748 1.668 1.863
9.815 5.265 2.126
1.111 6.484 3.906
-2.273 3.139 2.490
11.478 1.921 0.933
9.113 3.202 -1.099
-2.015 6.547 2.119
16.211 0.142 -0.080
5.082 3.487 3.139
7.248 5.449 2.874
14.045 2.105 0.186
6.947 1.240 -0.834
0.151 4.584 1.854

[3]
RbTl3Si | the Alexandria database | GGA-PBE | optimized geometry; space-group type = Pm-3m, No. 221; size of the total moment = 0.0 μB/f.u.; raw formation energy = 205 meV/atom
1.0
-0.578 -5.424 1.540
-1.278 -1.382 -5.346
5.492 -0.892 -1.082
Tl Rb Si
3 1 1
Cartesian
-0.639 -0.691 -2.673
-0.289 -2.712 0.770
2.746 -0.446 -0.541
1.818 -3.849 -2.444
0.000 0.000 0.000

[4]
Fe2SbPt | the Alexandria database | GGA-PBE | optimized geometry; space-group type = F-43m, No. 216; size of the total moment = 5.7 μB/f.u.; raw formation energy = 64 meV/atom
1.0
-3.212 -1.342 2.765
-0.035 -4.184 1.502
0.944 -0.839 4.262
Fe Pt Sb
2 1 1
Cartesian
0.000 0.000 0.000
-0.576 -1.591 2.132
-1.152 -3.182 4.265
-1.727 -4.774 6.397

[5]
Tb2CePu | the Alexandria database | GGA-PBE | optimized geometry; space-group type = P4/mmm, No. 123; E_tot = -28.968 eV per formula unit; size of the total moment = 7.3 μB/f.u.
1.0
-2.858 4.273 -0.503
-3.910 -2.696 -0.692
-0.835 -0.003 4.726
Tb Pu Ce
2 1 1
Cartesian
-1.955 -1.348 -0.346
-0.417 -0.001 2.363
-1.429 2.137 -0.251
-3.801 0.787 1.766

[6]
BeBiPt3 | the Alexandria database | GGA-PBE | optimized geometry; space-group type = Pm-3m, No. 221; E_tot = -18.229 eV per formula unit; size of the total moment = 0.0 μB/f.u.
1.0
-4.412 0.078 2.473
-2.442 -0.950 -4.327
0.398 -4.968 0.866
Pt Bi Be
3 1 1
Cartesian
0.199 -2.484 0.433
-2.206 0.039 1.236
-1.221 -0.475 -2.163
0.000 0.000 0.000
-3.228 -2.920 -0.494